This record from the Alexandria database describes crystalline ScVCdF2 at its relaxed geometry. The functional is GGA+U.

extended XYZ file:
```
5
Lattice="-0.889 -3.528 2.312 -1.423 -2.929 -5.017 4.091 -1.296 -0.404" Properties=species:S:1:pos:R:3 pbc="T T T"
Sc 0.890 -3.876 -1.555
F 2.046 -0.648 -0.202
F -0.444 -1.764 1.156
V -0.712 -1.465 -2.509
Cd 0.000 0.000 0.000
```

Properties
size of the total moment	4.30	μB/cell
raw total energy	-4.030	eV/atom
volume	111.15	Å³/cell
D(E_F)	2.6	states/eV per cell